--- A ---
First-principles (GGA-PBE) data for an optimized crystal structure of HoPaAl2, as listed in Alexandria.

```
HoPaAl2
1.0
4.633 0.000 0.000
0.000 4.633 0.000
0.000 0.000 4.239
Ho Pa Al
1 1 2
Direct
0.000 0.000 0.000 Ho
0.500 0.500 0.000 Pa
0.000 0.500 0.500 Al
0.500 0.000 0.500 Al
```

- M_tot: 0.0 μB/f.u.
- Crystal system: tetragonal
- SG: P4/mmm, No. 123

=====

--- B ---
First-principles (GGA-PBE) data for an optimized crystal structure of HoPaAl2, as listed in Alexandria.

```
HoPaAl2
1.0
1.608 0.928 10.253
-1.608 0.928 10.253
0.000 -1.856 10.253
Ho Pa Al
1 1 2
Direct
0.000 0.000 0.000 Ho
0.500 0.500 0.500 Pa
0.250 0.250 0.250 Al
0.750 0.750 0.750 Al
```

- M_tot: 0.0 μB/f.u.
- Crystal system: trigonal
- SG: R-3m, No. 166

=====

Which structure is the least stable? The one labeled B.

=====

--- A ---
First-principles (GGA-PBE) data for an optimized crystal structure of HoPaAl2, as listed in Alexandria.

```
HoPaAl2
1.0
0.000 3.586 3.586
3.586 0.000 3.586
3.586 3.586 0.000
Ho Pa Al
1 1 2
Direct
0.000 0.000 0.000 Ho
0.500 0.500 0.500 Pa
0.250 0.250 0.250 Al
0.750 0.750 0.750 Al
```

- M_tot: 0.5 μB/f.u.
- Crystal system: cubic
- SG: Fm-3m, No. 225

=====

--- B ---
First-principles (GGA-PBE) data for an optimized crystal structure of HoPaAl2, as listed in Alexandria.

```
HoPaAl2
1.0
3.240 0.000 0.000
0.000 3.240 0.000
0.000 0.000 8.495
Ho Pa Al
1 1 2
Direct
0.000 0.000 0.000 Ho
0.000 0.000 0.500 Pa
0.500 0.500 0.250 Al
0.500 0.500 0.750 Al
```

- M_tot: 0.0 μB/f.u.
- Crystal system: tetragonal
- SG: P4/mmm, No. 123

=====

Which structure is the least stable? The one labeled A.

=====

--- A ---
First-principles (GGA-PBE) data for an optimized crystal structure of Ho3Al8Pd3, as listed in Alexandria.

```
Ho3Al8Pd3
1.0
7.822 -2.200 0.000
7.822 2.200 0.000
-5.409 0.000 7.514
Ho Al Pd
3 8 3
Direct
0.000 0.000 0.000 Ho
0.286 0.286 0.293 Ho
0.714 0.714 0.707 Ho
0.136 0.136 0.426 Al
0.149 0.149 0.865 Al
0.349 0.349 0.718 Al
0.496 0.496 0.328 Al
0.504 0.504 0.672 Al
0.651 0.651 0.282 Al
0.851 0.851 0.135 Al
0.864 0.864 0.574 Al
0.000 0.000 0.500 Pd
0.352 0.352 0.995 Pd
0.648 0.648 0.005 Pd
```

- M_tot: 0.0 μB/f.u.
- Crystal system: monoclinic
- SG: C2/m, No. 12

=====

--- B ---
First-principles (GGA-PBE) data for an optimized crystal structure of Ho3Al8Pd3, as listed in Alexandria.

```
Ho3Al8Pd3
1.0
-2.167 4.949 6.106
2.167 -4.949 6.106
2.167 4.949 -6.106
Ho Al Pd
3 8 3
Direct
0.000 0.000 0.000 Ho
0.311 0.311 0.000 Ho
0.689 0.689 0.000 Ho
0.030 0.662 0.367 Al
0.160 0.877 0.283 Al
0.295 0.662 0.633 Al
0.406 0.123 0.283 Al
0.594 0.877 0.717 Al
0.705 0.338 0.367 Al
0.840 0.123 0.717 Al
0.970 0.338 0.633 Al
0.292 0.500 0.792 Pd
0.500 0.000 0.500 Pd
0.708 0.500 0.208 Pd
```

- M_tot: 0.0 μB/f.u.
- Crystal system: orthorhombic
- SG: Immm, No. 71

=====

Which structure is the least stable? The one labeled B.